Compound: TeS
Source: Alexandria
Functional: PBE
Structure: optimized geometry

Output
**Calculated total energy**: -13.0 eV for the cell shown
**E_form (uncorrected)**: 0.39 eV/atom
**Density of states at the Fermi level**: 0.53 states/eV/f.u.

CIF file:
```
data_TeS
_space_group_name_H-M_alt 'P 63 m c'
_space_group_IT_number 186
_space_group_name_Hall 'P 6c -2c'
_cell_length_a 4.4435
_cell_length_b 4.4435
_cell_length_c 10.2611
_cell_angle_alpha 90.00
_cell_angle_beta 90.00
_cell_angle_gamma 120.00
loop_
_atom_site_label
_atom_site_fract_x
_atom_site_fract_y
_atom_site_fract_z
Te1 0.3333 0.6667 0.0000
S1 0.3333 0.6667 0.5623
```

Compound: TeS5
Source: Alexandria
Functional: PBE
Structure: optimized geometry

Output
**Calculated total energy**: -22.5 eV for the cell shown
**E_form (uncorrected)**: 0.22 eV/atom
**Density of states at the Fermi level**: 1.64 states/eV/f.u.

CIF file:
```
data_TeS5
_space_group_name_H-M_alt 'P 1'
_space_group_IT_number 1
_space_group_name_Hall 'P 1'
_cell_length_a 3.2290
_cell_length_b 4.3733
_cell_length_c 12.1259
_cell_angle_alpha 81.73
_cell_angle_beta 89.45
_cell_angle_gamma 89.96
loop_
_atom_site_label
_atom_site_fract_x
_atom_site_fract_y
_atom_site_fract_z
Te1 0.0000 0.0000 0.0000
S1 0.0040 0.5954 0.8925
S2 0.4773 0.0729 0.6360
S3 0.4816 0.3788 0.5047
S4 0.4866 0.1247 0.3600
S5 0.4911 0.4272 0.2263
```

Compound: Te3S4
Source: Alexandria
Functional: PBE
Structure: optimized geometry

Output
**Calculated total energy**: -49.2 eV for the cell shown
**E_form (uncorrected)**: 0.19 eV/atom
**Density of states at the Fermi level**: 3.99 states/eV/f.u.

CIF file:
```
data_Te3S4
_space_group_name_H-M_alt 'C 1 2/m 1'
_space_group_IT_number 12
_space_group_name_Hall '-C 2y'
_cell_length_a 12.4206
_cell_length_b 4.1394
_cell_length_c 7.3118
_cell_angle_alpha 90.00
_cell_angle_beta 94.81
_cell_angle_gamma 90.00
loop_
_atom_site_label
_atom_site_fract_x
_atom_site_fract_y
_atom_site_fract_z
Te1 0.0000 0.0000 0.0000
Te2 0.2355 0.0000 0.7204
S1 0.1167 0.5000 0.8594
S2 0.1361 0.0000 0.4261
```

Compound: TeS
Source: Alexandria
Functional: PBE
Structure: optimized geometry

Output
**Calculated total energy**: -6.8 eV for the cell shown
**E_form (uncorrected)**: 0.23 eV/atom
**Density of states at the Fermi level**: 0.08 states/eV/f.u.

CIF file:
```
data_TeS
_space_group_name_H-M_alt 'P 1 m 1'
_space_group_IT_number 6
_space_group_name_Hall 'P -2y'
_cell_length_a 3.7787
_cell_length_b 3.7128
_cell_length_c 4.6639
_cell_angle_alpha 90.00
_cell_angle_beta 102.44
_cell_angle_gamma 90.00
loop_
_atom_site_label
_atom_site_fract_x
_atom_site_fract_y
_atom_site_fract_z
Te1 0.0000 0.0000 0.0000
S1 0.6229 0.5000 0.1648
```

- E_form (uncorrected) of number 2 (TeS5)?
  0.22 eV/atom